No. 1
## Be3As2 (SCAN)

Data for a crystal of Be3As2 relaxed with PBEsol.

a b c (Å): 3.6038 3.6038 5.9708
angles (deg): 90.00 90.00 120.00
Fractional coordinates of all 5 atoms:
Be  0.0000  0.0000  0.0000
Be  0.3333  0.6667  0.3910
Be  0.6667  0.3333  0.6090
As  0.3333  0.6667  0.7692
As  0.6667  0.3333  0.2308

Output
Total DFT energy (no corrections): -10.68 eV per atom
Crystal system: trigonal


No. 2
## BeAs (SCAN)

Data for a crystal of BeAs relaxed with PBEsol.

a b c (Å): 3.8070 3.8070 5.9276
angles (deg): 71.27 71.27 60.00
Fractional coordinates of all 4 atoms:
Be  0.4169  0.4169  0.7494
Be  0.5831  0.5831  0.2506
As  0.0768  0.0768  0.7695
As  0.9232  0.9232  0.2305

Output
Distance to the lowest polymorph of the same formula: 8.5 kJ/mol of formula units
Crystal system: trigonal


DOS(E_F)
In order: 0.47; 0.26
Unit: states/eV/f.u.